# Dy2HoAl3Si2Pt (PBE, relaxed)
data_Dy2HoAl3Si2Pt
_chemical_formula_sum 'Dy4 Ho2 Al6 Si4 Pt2'
_space_group_name_H-M_alt 'A m m 2'
_space_group_IT_number 38
_cell_length_a 4.218
_cell_length_b 11.959
_cell_length_c 6.904
_cell_angle_alpha 90.00
_cell_angle_beta 90.00
_cell_angle_gamma 90.00
loop_
_space_group_symop_operation_xyz
'x,y,z'
'-x,-y,z'
'-x,y,z'
'x,-y,z'
'x,y+1/2,z+1/2'
'-x,-y+1/2,z+1/2'
'-x,y+1/2,z+1/2'
'x,-y+1/2,z+1/2'
loop_
_atom_site_label
_atom_site_type_symbol
_atom_site_fract_x
_atom_site_fract_y
_atom_site_fract_z
Dy1 Dy 0.000 0.209 0.000
Ho1 Ho 0.000 0.000 0.626
Al1 Al 0.500 0.000 0.971
Al2 Al 0.500 0.119 0.328
Si1 Si 0.500 0.166 0.709
Pt1 Pt 0.000 0.000 0.210
# Calculated total energy, eV/atom: -5.54
# Crystal system: orthorhombic
# Mass density, g/cm3: 7.840
# Magnetization, μB/atom: 0.00